Record 1
Pm3PuPd12: relaxed, PBE-GGA.

abc: 4.1702 4.1702 16.7197
angles: 90.00 90.00 90.00
Sites, in units of the cell vectors:
Pm 0.0000 0.0000 0.0000
Pm 0.0000 0.0000 0.2505
Pm 0.0000 0.0000 0.7495
Pu 0.0000 0.0000 0.5000
Pd 0.0000 0.5000 0.1259
Pd 0.0000 0.5000 0.3790
Pd 0.0000 0.5000 0.6210
Pd 0.0000 0.5000 0.8741
Pd 0.5000 0.0000 0.1259
Pd 0.5000 0.0000 0.3790
Pd 0.5000 0.0000 0.6210
Pd 0.5000 0.0000 0.8741
Pd 0.5000 0.5000 0.0000
Pd 0.5000 0.5000 0.2517
Pd 0.5000 0.5000 0.5000
Pd 0.5000 0.5000 0.7483

Computed properties:
total energy: -6.42 eV per atom


Record 2
PmNd7In4: relaxed, PBE-GGA.

abc: 7.9385 7.9385 10.8232
angles: 120.92 120.92 43.24
Sites, in units of the cell vectors:
Pm 0.0000 0.0000 0.0000
Nd 0.0627 0.0627 0.3927
Nd 0.2052 0.2052 0.8794
Nd 0.2821 0.2821 0.3440
Nd 0.5000 0.5000 0.0000
Nd 0.7179 0.7179 0.6560
Nd 0.7948 0.7948 0.1206
Nd 0.9373 0.9373 0.6073
In 0.3185 0.3185 0.6675
In 0.4426 0.4426 0.2453
In 0.5574 0.5574 0.7547
In 0.6815 0.6815 0.3325

Computed properties:
total energy: -4.24 eV per atom


Record 3
Sr2CaHgF: relaxed, PBE-GGA.

abc: 5.5952 5.5952 4.6348
angles: 90.00 90.00 90.00
Sites, in units of the cell vectors:
Sr 0.0000 0.5000 0.0000
Sr 0.5000 0.0000 0.0000
Ca 0.0000 0.0000 0.5000
Hg 0.5000 0.5000 0.5000
F 0.0000 0.0000 0.0000

Computed properties:
E_form (uncorrected): -1.216 eV/atom